# 1
VASP calculation (PBE) on an optimized crystal structure of KAlZn11.

The structure in POSCAR format:
```
KAlZn11
1.0
2.654 -6.429 0.000
2.654 6.429 0.000
-2.641 0.000 6.490
K Al Zn
1 1 11
Cartesian
0.000 0.000 0.000
1.334 0.000 3.245
-1.321 0.000 3.245
1.327 3.214 0.000
0.022 4.146 4.171
0.007 1.495 5.000
2.645 4.146 2.319
2.660 1.495 1.489
1.327 -3.214 0.000
0.007 -1.495 5.000
0.022 -4.146 4.171
2.660 -1.495 1.489
2.645 -4.146 2.319
```

Summary:
The formation energy is 0.012 eV/atom. Its density of states at the Fermi level is 2.70 states/eV/cell. As for the space group: C2/m (12).

# 2
VASP calculation (PBE) on an optimized crystal structure of KAl2Zn.

The structure in POSCAR format:
```
KAl2Zn
1.0
4.283 -1.496 0.000
4.283 1.496 0.000
-0.706 0.000 7.609
K Al Zn
1 2 1
Cartesian
0.000 0.000 0.000
1.562 0.000 5.009
3.936 0.000 3.672
6.298 0.000 2.489
```

Summary:
The formation energy is 0.175 eV/atom. Its density of states at the Fermi level is 1.31 states/eV/cell. As for the space group: Cm (8).